(1)
# BaIn2Ag3, optimized geometry, DFT GGA-PBE
data_BaIn2Ag3
_chemical_formula_sum 'Ba2 In4 Ag6'
_space_group_name_H-M_alt 'P 1'
_space_group_IT_number 1
_space_group_name_Hall 'P 1'
_cell_length_a 7.229
_cell_length_b 7.229
_cell_length_c 6.151
_cell_angle_alpha 90.00
_cell_angle_beta 90.00
_cell_angle_gamma 79.58
loop_
_atom_site_label
_atom_site_type_symbol
_atom_site_fract_x
_atom_site_fract_y
_atom_site_fract_z
Ba1 Ba 0.183 0.817 0.750
Ba2 Ba 0.817 0.183 0.250
In1 In 0.286 0.286 0.000
In2 In 0.286 0.286 0.500
In3 In 0.714 0.714 0.000
In4 In 0.714 0.714 0.500
Ag1 Ag 0.043 0.601 0.250
Ag2 Ag 0.399 0.957 0.250
Ag3 Ag 0.438 0.562 0.250
Ag4 Ag 0.562 0.438 0.750
Ag5 Ag 0.601 0.043 0.750
Ag6 Ag 0.957 0.399 0.750
# * symmetry: No. 63
# * calculated formation energy: -0.22 eV/atom
# * raw total energy: -2.880 eV/atom

=====

(2)
# FeReAu2, optimized geometry, DFT GGA-PBE
data_FeReAu2
_chemical_formula_sum 'Fe1 Re1 Au2'
_space_group_name_H-M_alt 'P 1'
_space_group_IT_number 1
_space_group_name_Hall 'P 1'
_cell_length_a 5.478
_cell_length_b 5.478
_cell_length_c 5.478
_cell_angle_alpha 149.61
_cell_angle_beta 129.12
_cell_angle_gamma 60.43
loop_
_atom_site_label
_atom_site_type_symbol
_atom_site_fract_x
_atom_site_fract_y
_atom_site_fract_z
Fe1 Fe 0.000 0.000 0.000
Re1 Re 0.203 0.703 0.500
Au1 Au 0.474 0.474 0.000
Au2 Au 0.755 0.255 0.500
# * symmetry: No. 44
# * calculated formation energy: 0.47 eV/atom
# * raw total energy: -6.397 eV/atom

=====

> What is the formula in the second record?

FeReAu2